CeTl5S4 after structural relaxation, computed with PBE.

The structure belongs to space group C2/m (No. 12); the cell edges are 18.618, 4.182 and 8.517 Å and the angles 90.00°, 108.76° and 90.00°. The distinct sites, in fractional coordinates, are Ce at (0.000, 0.000, 0.000), Tl at (0.000, 0.000, 0.500), Tl at (0.155, 0.500, 0.804), Tl at (0.184, 0.500, 0.310), S at (0.021, 0.500, 0.233) and S at (0.157, 0.000, 0.049).

As for the uncorrected formation energy: -772 meV per atom. The calculation puts the calculated volume at 627.98 Å³/cell. Its total moment is 0.70 μB per formula unit. The value obtained for the density is 6.8 g/cm3. The total energy is -42.0 eV per formula unit.


CeTlS3 after structural relaxation, computed with PBE.

The structure belongs to space group P2_1/m (No. 11); the cell edges are 6.986, 4.233 and 10.303 Å and the angles 90.00°, 99.34° and 90.00°. The distinct sites, in fractional coordinates, are Ce at (0.222, 0.250, 0.426), Tl at (0.384, 0.250, 0.861), S at (0.032, 0.250, 0.640), S at (0.257, 0.750, 0.965) and S at (0.469, 0.750, 0.359).

As for the uncorrected formation energy: -993 meV per atom. The calculation puts the calculated volume at 300.67 Å³/cell. Its total moment is 0.86 μB per formula unit. The value obtained for the density is 4.9 g/cm3. The total energy is -25.6 eV per formula unit. The excess energy over the best structure of this formula in the dataset comes out at 27.1 meV per atom.


CeTl6S8 after structural relaxation, computed with PBE.

The structure belongs to space group R-3 (No. 148, hexagonal axes); the cell edges are 10.7242, 10.7242 and 12.3365 Å and the angles 90.00°, 90.00° and 120.00°. The distinct sites, in fractional coordinates, are Ce at (0.0000, 0.0000, 0.0000), Tl at (0.0044, 0.7644, 0.3541), S at (0.0000, 0.0000, 0.2639) and S at (0.0666, 0.4707, 0.7705).

As for the uncorrected formation energy: -349 meV per atom. The calculation puts the calculated volume at 1228.73 Å³/cell. Its total moment is 0.00 μB per formula unit. The value obtained for the density is 6.6 g/cm3. The total energy is -58.4 eV per formula unit.


Ce2Tl2S5 after structural relaxation, computed with PBE.

The structure belongs to space group Cmce (No. 64); the cell edges are 15.613, 7.718 and 7.723 Å and the angles 90.00°, 90.00° and 90.00°. The distinct sites, in fractional coordinates, are Ce at (0.000, 0.165, 0.164), Tl at (0.201, 0.000, 0.500), S at (0.000, 0.000, 0.500) and S at (0.111, 0.145, 0.856).

As for the uncorrected formation energy: -1297 meV per atom. The calculation puts the calculated volume at 930.71 Å³/cell. Its total moment is 0.00 μB per formula unit. The value obtained for the density is 6.1 g/cm3. The total energy is -48.9 eV per formula unit.


Ce4TlS8 after structural relaxation, computed with PBE.

The structure belongs to space group C2/m (No. 12); the cell edges are 14.365, 8.303 and 10.264 Å and the angles 90.00°, 133.62° and 90.00°. The distinct sites, in fractional coordinates, are Ce at (0.000, 0.248, 0.000), Ce at (0.233, 0.000, 0.967), Tl at (0.000, 0.500, 0.500), S at (0.005, 0.500, 0.829), S at (0.017, 0.000, 0.193) and S at (0.242, 0.265, 0.816).

As for the uncorrected formation energy: -1637 meV per atom. The calculation puts the calculated volume at 886.35 Å³/cell. Its total moment is 1.28 μB per formula unit. The value obtained for the density is 3.8 g/cm3. The total energy is -80.4 eV per formula unit.


Ce3TmTl3S8 after structural relaxation, computed with PBE.

The structure belongs to space group R-3m (No. 166, hexagonal axes); the cell edges are 8.2265, 8.2265 and 22.4943 Å and the angles 90.00°, 90.00° and 120.00°. The distinct sites, in fractional coordinates, are Ce at (0.0000, 0.5000, 0.0000), Tm at (0.0000, 0.0000, 0.0000), Tl at (0.0000, 0.5000, 0.5000), S at (0.0000, 0.0000, 0.2660) and S at (0.0083, 0.5041, 0.7312).

As for the uncorrected formation energy: -1518 meV per atom. The calculation puts the calculated volume at 1318.35 Å³/cell. Its total moment is 2.02 μB per formula unit. The value obtained for the density is 5.5 g/cm3. The total energy is -85.2 eV per formula unit.


CeTm2Tl3S6 after structural relaxation, computed with PBE.

The structure belongs to space group C2/m (No. 12); the cell edges are 7.023, 12.158 and 7.874 Å and the angles 90.00°, 107.29° and 90.00°. The distinct sites, in fractional coordinates, are Ce at (0.000, 0.000, 0.000), Tm at (0.000, 0.333, 0.000), Tl at (0.000, 0.166, 0.500), Tl at (0.000, 0.500, 0.500), S at (0.220, 0.500, 0.195) and S at (0.238, 0.173, 0.197).

As for the uncorrected formation energy: -1452 meV per atom. The calculation puts the calculated volume at 641.98 Å³/cell. Its total moment is 1.02 μB per formula unit. The value obtained for the density is 6.6 g/cm3. The total energy is -64.2 eV per formula unit.


CeTm4TlS8 after structural relaxation, computed with PBE.

The structure belongs to space group R3m (No. 160, hexagonal axes); the cell edges are 8.0840, 8.0840 and 20.5467 Å and the angles 90.00°, 90.00° and 120.00°. The distinct sites, in fractional coordinates, are Ce at (0.0000, 0.0000, 0.0000), Tm at (0.0000, 0.0000, 0.3779), Tm at (0.0101, 0.5051, 0.5051), Tl at (0.0000, 0.0000, 0.6331), S at (0.0000, 0.0000, 0.2467), S at (0.0000, 0.0000, 0.7725), S at (0.0126, 0.5063, 0.7597) and S at (0.1859, 0.3717, 0.5775).

As for the uncorrected formation energy: -1777 meV per atom. The calculation puts the calculated volume at 1162.87 Å³/cell. Its total moment is 1.01 μB per formula unit. The value obtained for the density is 5.5 g/cm3. The total energy is -84.1 eV per formula unit.


Ce3TmTl4S8 after structural relaxation, computed with PBE.

The structure belongs to space group R-3m (No. 166, hexagonal axes); the cell edges are 8.2790, 8.2790 and 22.4827 Å and the angles 90.00°, 90.00° and 120.00°. The distinct sites, in fractional coordinates, are Ce at (0.0000, 0.5000, 0.0000), Tm at (0.0000, 0.0000, 0.0000), Tl at (0.0000, 0.0000, 0.5000), Tl at (0.0000, 0.5000, 0.5000), S at (0.0000, 0.0000, 0.2657) and S at (0.0103, 0.5052, 0.7327).

As for the uncorrected formation energy: -1415 meV per atom. The calculation puts the calculated volume at 1334.55 Å³/cell. Its total moment is 3.02 μB per formula unit. The value obtained for the density is 6.2 g/cm3. The total energy is -87.4 eV per formula unit.